# TmSc2Zn3

A relaxed structure of TmSc2Zn3 (PBE, Alexandria via LeMat-Bulk).

The energy of formation from the pure elements comes out at -35 kJ per mole of atoms.

The space group is P4/mmm (No. 123) and the conventional cell measures 3.406, 3.406 and 10.228 Å, with angles of 90.00, 90.00 and 90.00 degrees. The distinct sites, in fractional coordinates, are Tm at (0.000, 0.000, 0.000), Sc at (0.000, 0.000, 0.338), Zn at (0.500, 0.500, 0.181) and Zn at (0.500, 0.500, 0.500).